DFT (PBE) results for crystalline Ce2ZrGe at its relaxed geometry.

Unit cell a=3.109 b=3.109 c=11.422 alpha=82.18 beta=82.18 gamma=60.00
Fractional positions:
Ce  0.091  0.091  0.728
Ce  0.909  0.909  0.272
Ge  0.500  0.500  0.500
Zr  0.000  0.000  0.000

Values from the calculation:
* crystal system: trigonal
* total moment: 0.0 μB/cell
* calculated total energy: -6.22 eV/atom
* ΔH_f (0 K): 0.03 eV per atom